Computed, not measured: crystalline CoSnSO at its relaxed geometry at the GGA+U level of DFT.

POSCAR file:
```
CoSnSO
1.0
1.4943 -7.7365 0.0000
1.4943 7.7365 0.0000
0.0000 0.0000 5.4887
Co Sn S O
2 2 2 2
Cartesian
1.4943 6.7832 4.1165 Co
1.4943 -6.7832 1.3722 Co
1.4943 1.9247 4.1165 Sn
1.4943 -1.9247 1.3722 Sn
1.4943 2.7811 1.3722 S
1.4943 -2.7811 4.1165 S
1.4943 0.0000 0.0000 O
1.4943 0.0000 2.7443 O
```

Output
Its electronic total energy is -4.982 eV/atom. The size of the total moment comes out at 2.7 μB/f.u.